Density functional theory data (GGA-PBEsol) for crystalline Ba2Ti2O5 at its relaxed geometry.

Cell: 5.747 5.736 8.914 Å, 71.23 71.19 90.00°
Each line ends with the local moment (μB).
Sites, in units of the cell vectors:
Ba (0.382, 0.880, 0.236)  0.05
Ba (0.618, 0.120, 0.764)  0.05
Ba (0.882, 0.383, 0.236)  0.05
Ba (0.118, 0.617, 0.764)  0.05
Ti (0.000, 0.000, 0.000)  0.46
Ti (0.500, 0.500, 0.000)  0.46
Ti (0.750, 0.785, 0.500)  0.74
Ti (0.250, 0.215, 0.500)  0.74
O (0.253, 0.753, 0.993)  -0.01
O (0.247, 0.247, 0.007)  -0.01
O (0.753, 0.753, 0.993)  -0.01
O (0.747, 0.247, 0.007)  -0.01
O (0.870, 0.851, 0.260)  -0.01
O (0.130, 0.149, 0.740)  -0.01
O (0.370, 0.390, 0.260)  -0.01
O (0.630, 0.610, 0.740)  -0.01
O (0.500, 0.000, 0.500)  -0.02
O (0.000, 0.000, 0.500)  -0.02

Energy relative to the elements, uncorrected: -2.88 eV per atom
Space group: Imma
Total moment: 3.800 μB/cell